The following is a DFT calculation (GGA+U) of a relaxed MgVN2F crystal.

Unit cell a=3.9527 b=3.9527 c=3.6312 alpha=90.00 beta=90.00 gamma=90.00
Fractional positions:
1 Mg 0.0000 0.0000 0.0000
2 V 0.5000 0.5000 0.5000
3 N 0.0000 0.5000 0.0000
4 N 0.5000 0.0000 0.0000
5 F 0.0000 0.0000 0.5000

Results
Theoretical density   3578 kg/m3
E_tot   -4.997 eV/atom
DOS(E_F)   3.4 states/eV/f.u.
Energy above the lowest structure with this stoichiometry   1023 meV/atom